(1)
# Pm8Tl2Os, relaxed, DFT PBE-GGA
# ΔE_f   -0.162 eV/atom
# Space group   C2/m (12)
data_Pm8Tl2Os
_cell_length_a 5.553
_cell_length_b 7.159
_cell_length_c 9.352
_cell_angle_alpha 110.51
_cell_angle_beta 107.27
_cell_angle_gamma 90.00
_space_group_name_H-M_alt 'P 1'
_space_group_IT_number 1
loop_
_space_group_symop_operation_xyz
'x,y,z'
loop_
_atom_site_label
_atom_site_type_symbol
_atom_site_fract_x
_atom_site_fract_y
_atom_site_fract_z
Pm1 Pm 0.643 0.916 0.286
Pm2 Pm 0.399 0.593 0.797
Pm3 Pm 0.601 0.407 0.203
Pm4 Pm 0.009 0.774 0.017
Pm5 Pm 0.801 0.747 0.603
Pm6 Pm 0.991 0.226 0.983
Pm7 Pm 0.199 0.253 0.397
Pm8 Pm 0.357 0.084 0.714
Os1 Os 0.500 0.000 0.000
Tl1 Tl 0.818 0.308 0.635
Tl2 Tl 0.182 0.692 0.365

---

(2)
# Pm4TlOs, relaxed, DFT PBE-GGA
# ΔE_f   -0.236 eV/atom
# Space group   C2/c (15)
data_Pm4TlOs
_cell_length_a 6.301
_cell_length_b 9.224
_cell_length_c 8.080
_cell_angle_alpha 114.73
_cell_angle_beta 99.60
_cell_angle_gamma 113.02
_space_group_name_H-M_alt 'P 1'
_space_group_IT_number 1
loop_
_space_group_symop_operation_xyz
'x,y,z'
loop_
_atom_site_label
_atom_site_type_symbol
_atom_site_fract_x
_atom_site_fract_y
_atom_site_fract_z
Pm1 Pm 0.392 0.941 0.662
Pm2 Pm 0.230 0.279 0.338
Pm3 Pm 0.906 0.798 0.151
Pm4 Pm 0.770 0.721 0.662
Pm5 Pm 0.608 0.059 0.338
Pm6 Pm 0.094 0.202 0.849
Pm7 Pm 0.746 0.354 0.151
Pm8 Pm 0.254 0.646 0.849
Tl1 Tl 0.374 0.624 0.247
Tl2 Tl 0.626 0.376 0.753
Os1 Os 0.750 0.000 0.000
Os2 Os 0.250 0.000 0.000

---

(3)
# PmTm3Os, relaxed, DFT PBE-GGA
# Energy above the lowest structure with this stoichiometry   0.00 eV/f.u.
# ΔE_f   -0.036 eV/atom
# Space group   Pm-3m (221)
data_PmTm3Os
_cell_length_a 5.371
_cell_length_b 5.371
_cell_length_c 5.371
_cell_angle_alpha 90.00
_cell_angle_beta 90.00
_cell_angle_gamma 90.00
_space_group_name_H-M_alt 'P 1'
_space_group_IT_number 1
loop_
_space_group_symop_operation_xyz
'x,y,z'
loop_
_atom_site_label
_atom_site_type_symbol
_atom_site_fract_x
_atom_site_fract_y
_atom_site_fract_z
Pm1 Pm 0.500 0.500 0.500
Tm1 Tm 0.000 0.500 0.000
Tm2 Tm 0.000 0.000 0.500
Tm3 Tm 0.500 0.000 0.000
Os1 Os 0.000 0.000 0.000

---

(4)
# Pm2Tm3Os2, relaxed, DFT PBE-GGA
# ΔE_f   -0.233 eV/atom
# Space group   C2/m (12)
data_Pm2Tm3Os2
_cell_length_a 3.958
_cell_length_b 6.284
_cell_length_c 8.348
_cell_angle_alpha 101.99
_cell_angle_beta 103.71
_cell_angle_gamma 108.36
_space_group_name_H-M_alt 'P 1'
_space_group_IT_number 1
loop_
_space_group_symop_operation_xyz
'x,y,z'
loop_
_atom_site_label
_atom_site_type_symbol
_atom_site_fract_x
_atom_site_fract_y
_atom_site_fract_z
Tm1 Tm 0.199 0.826 0.573
Tm2 Tm 0.500 0.000 0.000
Tm3 Tm 0.801 0.174 0.427
Os1 Os 0.047 0.873 0.221
Os2 Os 0.953 0.127 0.779
Pm1 Pm 0.643 0.481 0.804
Pm2 Pm 0.357 0.519 0.196

---

Number 1 is which compound? Pm8Tl2Os